Entry 1:
This record from the Alexandria database describes crystalline YSc2Cl at its relaxed geometry. The functional is PBE-GGA.

Summary:
space-group type: Imm2 (44)

Unit cell a=6.2071 b=6.2071 c=6.2071 alpha=149.18 beta=124.51 gamma=64.82
Last column: nearest neighbours and their distance in Å.
Fractional positions:
Y  0.0000  0.0000  0.0000  2 Cl 2.90
Sc  0.4297  0.4297  0.0000  2 Cl 2.68
Sc  0.7022  0.2022  0.5000  4 Sc 3.30, 4 Cl 3.34, 4 Y 3.53-3.58
Cl  0.2280  0.7280  0.5000  2 Sc 2.68, 2 Y 2.90

***

Entry 2:
This record from the Alexandria database describes crystalline Y3ScCl at its relaxed geometry. The functional is PBE-GGA.

Summary:
space-group type: Pm-3m (221)

Unit cell a=5.2268 b=5.2268 c=5.2268 alpha=90.00 beta=90.00 gamma=90.00
Last column: nearest neighbours and their distance in Å.
Fractional positions:
Y  0.0000  0.0000  0.5000  2 Cl 2.61
Y  0.0000  0.5000  0.0000  2 Cl 2.61
Y  0.5000  0.0000  0.0000  2 Cl 2.61
Sc  0.5000  0.5000  0.5000  12 Y 3.70
Cl  0.0000  0.0000  0.0000  6 Y 2.61

***

Entry 3:
This record from the Alexandria database describes crystalline Y2ScCl at its relaxed geometry. The functional is PBE-GGA.

Summary:
space-group type: Pmmm (47)

Unit cell a=3.4535 b=5.3818 c=5.9444 alpha=90.00 beta=90.00 gamma=90.00
Last column: nearest neighbours and their distance in Å.
Fractional positions:
Y  0.0000  0.0000  0.0000  4 Cl 3.20, 6 Y 3.44-3.45
Y  0.5000  0.0000  0.5000  4 Sc 3.20, 6 Y 3.44-3.45
Sc  0.0000  0.5000  0.5000  4 Y 3.20, 4 Cl 3.44, 2 Sc 3.45
Cl  0.5000  0.5000  0.0000  4 Y 3.20, 4 Sc 3.44, 2 Cl 3.45

***

Total magnetization readings, ordered: 0.00 0.00 0.00 μB/f.u.
E readings, ordered: -22.353 -29.546 -21.802 eV per cell
Energy relative to the elements, uncorrected readings, ordered: -1.38 -1.98 -0.70 eV per formula unit